<i>
## Li2PuPd8 (PBE)

Data for a relaxed Li2PuPd8 crystal.

Computed properties:
crystal system	orthorhombic
volume	16.08	Å³/atom

a = 4.1784 Å, b = 6.7214 Å, c = 12.5929 Å
α = 90.00°, β = 90.00°, γ = 90.00°
Space group Immm (No. 71)
Symmetry-distinct sites (fractional):
Li: 0.0000 0.0000 0.1975 (multiplicity 4)
Pu: 0.0000 0.0000 0.5000 (multiplicity 2)
Pd: 0.0000 0.1989 0.0000 (multiplicity 4)
Pd: 0.0000 0.2865 0.3419 (multiplicity 8)
Pd: 0.0000 0.5000 0.1557 (multiplicity 4)



<ii>
## Li2PuPd8 (PBE)

Data for a relaxed Li2PuPd8 crystal.

Computed properties:
crystal system	monoclinic
volume	15.90	Å³/atom

a = 14.1501 Å, b = 4.1151 Å, c = 6.2634 Å
α = 90.00°, β = 106.45°, γ = 90.00°
Space group C2/m (No. 12)
Symmetry-distinct sites (fractional):
Li: 0.2269 0.0000 0.1466 (multiplicity 4)
Pu: 0.0000 0.5000 0.5000 (multiplicity 2)
Pd: 0.0473 0.0000 0.2256 (multiplicity 4)
Pd: 0.0956 0.5000 0.9653 (multiplicity 4)
Pd: 0.1430 0.0000 0.7001 (multiplicity 4)
Pd: 0.1838 0.5000 0.4207 (multiplicity 4)



The calculated energies rank the structures as follows, beginning with the most stable: <ii>, <i>.



<i>
## Li2PuPd3 (PBE)

Data for a relaxed Li2PuPd3 crystal.

Computed properties:
crystal system	orthorhombic
volume	16.38	Å³/atom

a = 4.3757 Å, b = 13.0630 Å, c = 6.8777 Å
α = 90.00°, β = 90.00°, γ = 90.00°
Space group Cmmm (No. 65)
Symmetry-distinct sites (fractional):
Li: 0.0000 0.0000 0.0000 (multiplicity 2)
Li: 0.0000 0.0000 0.5000 (multiplicity 2)
Li: 0.0000 0.3296 0.0000 (multiplicity 4)
Pu: 0.0000 0.3382 0.5000 (multiplicity 4)
Pd: 0.0000 0.1600 0.2198 (multiplicity 8)
Pd: 0.0000 0.5000 0.2215 (multiplicity 4)



<ii>
## Li2PuPd3 (PBE)

Data for a relaxed Li2PuPd3 crystal.

Computed properties:
crystal system	hexagonal
volume	16.97	Å³/atom

a = 4.4195 Å, b = 4.4195 Å, c = 12.0386 Å
α = 90.00°, β = 90.00°, γ = 120.00°
Space group P6_3/mmc (No. 194)
Symmetry-distinct sites (fractional):
Li: 0.3333 0.6667 0.0788 (multiplicity 4)
Pu: 0.0000 0.0000 0.2500 (multiplicity 2)
Pd: 0.0000 0.0000 0.0000 (multiplicity 2)
Pd: 0.3333 0.6667 0.6309 (multiplicity 4)



The calculated energies rank the structures as follows, beginning with the most stable: <i>, <ii>.